The following is a PBE-GGA calculation of a relaxed TbAs4Pd6 crystal, from Alexandria.

Structure (CIF):
```
data_TbAs4Pd6
_cell_length_a 7.4142
_cell_length_b 7.4142
_cell_length_c 4.0026
_cell_angle_alpha 90.00
_cell_angle_beta 90.00
_cell_angle_gamma 120.00
_symmetry_space_group_name_H-M 'P -6 m 2'
_symmetry_Int_Tables_number 187
_symmetry_space_group_name_Hall 'P -6 2'
loop_
_atom_site_label
_atom_site_type_symbol
_atom_site_fract_x
_atom_site_fract_y
_atom_site_fract_z
_atom_site_occupancy
Tb1 Tb 0.0000 0.0000 0.0000 1
As1 As 0.1872 0.3744 0.5000 1
As2 As 0.6667 0.3333 0.0000 1
Pd1 Pd 0.0706 0.5353 0.0000 1
Pd2 Pd 0.3927 0.1963 0.5000 1
```

Summary:
Energy of formation = -6.2 eV per formula unit



The following is a PBE-GGA calculation of a relaxed TbAs2Pd6 crystal, from Alexandria.

Structure (CIF):
```
data_TbAs2Pd6
_cell_length_a 4.280
_cell_length_b 7.363
_cell_length_c 10.428
_cell_angle_alpha 90.00
_cell_angle_beta 90.00
_cell_angle_gamma 90.00
_symmetry_space_group_name_H-M 'I m m m'
_symmetry_Int_Tables_number 71
_symmetry_space_group_name_Hall '-I 2 2'
loop_
_atom_site_label
_atom_site_type_symbol
_atom_site_fract_x
_atom_site_fract_y
_atom_site_fract_z
_atom_site_occupancy
Tb1 Tb 0.000 0.000 0.000 1
As1 As 0.000 0.000 0.300 1
Pd1 Pd 0.000 0.206 0.500 1
Pd2 Pd 0.000 0.305 0.176 1
```

Summary:
Energy of formation = -4.5 eV per formula unit



The following is a PBE-GGA calculation of a relaxed TbAs2Pd5 crystal, from Alexandria.

Structure (CIF):
```
data_TbAs2Pd5
_cell_length_a 4.085
_cell_length_b 7.293
_cell_length_c 9.511
_cell_angle_alpha 90.00
_cell_angle_beta 90.00
_cell_angle_gamma 90.00
_symmetry_space_group_name_H-M 'I m m m'
_symmetry_Int_Tables_number 71
_symmetry_space_group_name_Hall '-I 2 2'
loop_
_atom_site_label
_atom_site_type_symbol
_atom_site_fract_x
_atom_site_fract_y
_atom_site_fract_z
_atom_site_occupancy
Tb1 Tb 0.000 0.000 0.000 1
As1 As 0.000 0.500 0.257 1
Pd1 Pd 0.000 0.194 0.352 1
Pd2 Pd 0.000 0.500 0.000 1
```

Summary:
Energy of formation = -4.9 eV per formula unit



The following is a PBE-GGA calculation of a relaxed Tb3As5Pd6 crystal, from Alexandria.

Structure (CIF):
```
data_Tb3As5Pd6
_cell_length_a 4.137
_cell_length_b 12.722
_cell_length_c 9.948
_cell_angle_alpha 90.00
_cell_angle_beta 90.00
_cell_angle_gamma 90.00
_symmetry_space_group_name_H-M 'P m m n'
_symmetry_Int_Tables_number 59
loop_
_symmetry_equiv_pos_as_xyz
'x,y,z'
'-x,-y,-z'
'-x+1/2,-y+1/2,z'
'x+1/2,y+1/2,-z'
'x+1/2,-y,-z'
'-x+1/2,y,z'
'-x,y+1/2,-z'
'x,-y+1/2,z'
loop_
_atom_site_label
_atom_site_type_symbol
_atom_site_fract_x
_atom_site_fract_y
_atom_site_fract_z
_atom_site_occupancy
Tb1 Tb 0.250 0.082 0.243 1
Tb2 Tb 0.250 0.750 0.255 1
As1 As 0.250 0.088 0.850 1
As2 As 0.250 0.627 0.530 1
As3 As 0.250 0.750 0.837 1
Pd1 Pd 0.250 0.064 0.605 1
Pd2 Pd 0.250 0.250 0.003 1
Pd3 Pd 0.250 0.250 0.465 1
Pd4 Pd 0.250 0.582 0.996 1
```

Summary:
Energy of formation = -12.5 eV per formula unit



The following is a PBE-GGA calculation of a relaxed Tb2As6Pd21 crystal, from Alexandria.

Structure (CIF):
```
data_Tb2As6Pd21
_cell_length_a 12.494
_cell_length_b 12.494
_cell_length_c 12.494
_cell_angle_alpha 90.00
_cell_angle_beta 90.00
_cell_angle_gamma 90.00
_symmetry_space_group_name_H-M 'F m -3 m'
_symmetry_Int_Tables_number 225
_symmetry_space_group_name_Hall '-F 4 2 3'
loop_
_atom_site_label
_atom_site_type_symbol
_atom_site_fract_x
_atom_site_fract_y
_atom_site_fract_z
_atom_site_occupancy
Tb1 Tb 0.250 0.250 0.250 1
As1 As 0.000 0.000 0.238 1
Pd1 Pd 0.000 0.000 0.500 1
Pd2 Pd 0.000 0.174 0.326 1
Pd3 Pd 0.117 0.117 0.117 1
```

Summary:
Energy of formation = -14.9 eV per formula unit



The following is a PBE-GGA calculation of a relaxed Tb2As3Pd5 crystal, from Alexandria.

Structure (CIF):
```
data_Tb2As3Pd5
_cell_length_a 4.355
_cell_length_b 24.070
_cell_length_c 6.948
_cell_angle_alpha 90.00
_cell_angle_beta 90.00
_cell_angle_gamma 90.00
_symmetry_space_group_name_H-M 'C m c 21'
_symmetry_Int_Tables_number 36
loop_
_symmetry_equiv_pos_as_xyz
'x,y,z'
'-x,-y,z+1/2'
'-x,y,z'
'x,-y,z+1/2'
'x+1/2,y+1/2,z'
'-x+1/2,-y+1/2,z+1/2'
'-x+1/2,y+1/2,z'
'x+1/2,-y+1/2,z+1/2'
loop_
_atom_site_label
_atom_site_type_symbol
_atom_site_fract_x
_atom_site_fract_y
_atom_site_fract_z
_atom_site_occupancy
Tb1 Tb 0.000 0.021 0.000 1
Tb2 Tb 0.000 0.326 0.030 1
As1 As 0.000 0.108 0.700 1
As2 As 0.000 0.275 0.597 1
As3 As 0.000 0.452 0.799 1
Pd1 Pd 0.000 0.107 0.319 1
Pd2 Pd 0.000 0.198 0.888 1
Pd3 Pd 0.000 0.226 0.286 1
Pd4 Pd 0.000 0.377 0.534 1
Pd5 Pd 0.000 0.446 0.192 1
```

Summary:
Energy of formation = -8.4 eV per formula unit



The following is a PBE-GGA calculation of a relaxed Tb4As6Pd5 crystal, from Alexandria.

Structure (CIF):
```
data_Tb4As6Pd5
_cell_length_a 4.182
_cell_length_b 19.075
_cell_length_c 15.080
_cell_angle_alpha 90.00
_cell_angle_beta 90.00
_cell_angle_gamma 90.00
_symmetry_space_group_name_H-M 'C m c 21'
_symmetry_Int_Tables_number 36
loop_
_symmetry_equiv_pos_as_xyz
'x,y,z'
'-x,-y,z+1/2'
'-x,y,z'
'x,-y,z+1/2'
'x+1/2,y+1/2,z'
'-x+1/2,-y+1/2,z+1/2'
'-x+1/2,y+1/2,z'
'x+1/2,-y+1/2,z+1/2'
loop_
_atom_site_label
_atom_site_type_symbol
_atom_site_fract_x
_atom_site_fract_y
_atom_site_fract_z
_atom_site_occupancy
Tb1 Tb 0.000 0.016 0.000 1
Tb2 Tb 0.000 0.038 0.260 1
Tb3 Tb 0.000 0.165 0.794 1
Tb4 Tb 0.000 0.183 0.439 1
As1 As 0.000 0.113 0.610 1
As2 As 0.000 0.219 0.982 1
As3 As 0.000 0.235 0.255 1
As4 As 0.000 0.423 0.622 1
As5 As 0.000 0.426 0.905 1
As6 As 0.000 0.443 0.342 1
Pd1 Pd 0.000 0.153 0.126 1
Pd2 Pd 0.000 0.306 0.111 1
Pd3 Pd 0.000 0.342 0.776 1
Pd4 Pd 0.000 0.357 0.464 1
Pd5 Pd 0.000 0.449 0.168 1
```

Summary:
Energy of formation = -14.5 eV per formula unit



The following is a PBE-GGA calculation of a relaxed TbAs2Pd crystal, from Alexandria.

Structure (CIF):
```
data_TbAs2Pd
_cell_length_a 3.4947
_cell_length_b 3.4947
_cell_length_c 26.7063
_cell_angle_alpha 90.00
_cell_angle_beta 90.00
_cell_angle_gamma 120.00
_symmetry_space_group_name_H-M 'R -3 m'
_symmetry_Int_Tables_number 166
_symmetry_space_group_name_Hall '-R 3 2"'
loop_
_atom_site_label
_atom_site_type_symbol
_atom_site_fract_x
_atom_site_fract_y
_atom_site_fract_z
_atom_site_occupancy
Tb1 Tb 0.0000 0.0000 0.0000 1
As1 As 0.0000 0.0000 0.1075 1
Pd1 Pd 0.0000 0.0000 0.5000 1
```

Summary:
Energy of formation = -0.4 eV per formula unit



Computed DOS at the Fermi energy (states/eV/f.u.) in order:
6.26; 3.86; 4.11; 7.27; 11.64; 4.88; 9.12; 2.56